No. 1
FeHOs2: relaxed, PBE-GGA.

Summary:
Excess energy over the best structure of this formula in the dataset (kJ/mol of formula units): 0

Lattice parameters (Å, degrees): 5.9454 5.9454 4.8841 52.51 52.51 90.00
Last column: nearest neighbours and their distance in Å.
Sites, in units of the cell vectors:
H (0.2500, 0.7500, 0.5000)  4 Os 1.88
H (0.5000, 0.5000, 0.0000)  4 Os 1.88
Os (0.5364, 0.1250, 0.2500)  2 H 1.88
Os (0.8750, 0.7864, 0.7500)  2 H 1.88
Os (0.3750, 0.4636, 0.7500)  2 H 1.88
Os (0.2136, 0.6250, 0.2500)  2 H 1.88
Fe (0.7500, 0.2500, 0.5000)  2 H 2.49, 8 Os 2.57-2.58
Fe (0.0000, 0.0000, 0.0000)  2 H 2.49, 8 Os 2.57-2.58

***

No. 2
FeH2Os: relaxed, PBE-GGA.

Summary:
Excess energy over the best structure of this formula in the dataset (kJ/mol of formula units): 181

Lattice parameters (Å, degrees): 3.6045 3.6045 3.6045 60.00 60.00 60.00
Last column: nearest neighbours and their distance in Å.
Sites, in units of the cell vectors:
Os (0.5000, 0.5000, 0.5000)  8 H 2.21
H (0.2500, 0.2500, 0.2500)  4 Fe 2.21, 4 Os 2.21
H (0.7500, 0.7500, 0.7500)  4 Fe 2.21, 4 Os 2.21
Fe (0.0000, 0.0000, 0.0000)  8 H 2.21

***

No. 3
FeHOs3: relaxed, PBE-GGA.

Summary:
Excess energy over the best structure of this formula in the dataset (kJ/mol of formula units): 1062

Lattice parameters (Å, degrees): 4.4056 4.4056 4.4056 90.00 90.00 90.00
Last column: nearest neighbours and their distance in Å.
Sites, in units of the cell vectors:
Os (0.0000, 0.0000, 0.5000)  2 Fe 2.20
Os (0.5000, 0.0000, 0.0000)  2 Fe 2.20
Os (0.0000, 0.5000, 0.0000)  2 Fe 2.20
H (0.5000, 0.5000, 0.5000)  12 Os 3.12
Fe (0.0000, 0.0000, 0.0000)  6 Os 2.20

***

No. 4
FeH2Os: relaxed, PBE-GGA.

Summary:
Excess energy over the best structure of this formula in the dataset (kJ/mol of formula units): 0

Lattice parameters (Å, degrees): 4.0030 4.0030 4.8958 65.87 65.87 90.00
Last column: nearest neighbours and their distance in Å.
Sites, in units of the cell vectors:
H (0.5962, 0.1250, 0.2500)  2 Fe 1.67, 2 Os 1.80
H (0.1538, 0.6250, 0.2500)  2 Fe 1.67, 2 Os 1.80
H (0.3750, 0.4038, 0.7500)  2 Fe 1.67, 2 Os 1.80
H (0.8750, 0.8462, 0.7500)  2 Fe 1.67, 2 Os 1.80
Fe (0.2500, 0.7500, 0.5000)  4 H 1.67
Fe (0.5000, 0.5000, 0.0000)  4 H 1.67
Os (0.7500, 0.2500, 0.5000)  4 H 1.80
Os (0.0000, 0.0000, 0.0000)  4 H 1.80

***

No. 5
FeH2Os2: relaxed, PBE-GGA.

Summary:
E (eV per atom): -7.12

Lattice parameters (Å, degrees): 2.8930 2.8930 5.9079 75.83 75.83 90.00
Last column: nearest neighbours and their distance in Å.
Sites, in units of the cell vectors:
Os (0.3621, 0.3621, 0.2757)  4 H 1.91
Os (0.6379, 0.6379, 0.7243)  4 H 1.91
H (0.2500, 0.7500, 0.5000)  4 Os 1.91, 4 H 2.05
H (0.7500, 0.2500, 0.5000)  4 Os 1.91, 4 H 2.05
Fe (0.0000, 0.0000, 0.0000)  8 Os 2.55

***

No. 6
Fe2H2Os: relaxed, PBE-GGA.

Summary:
Excess energy over the best structure of this formula in the dataset (kJ/mol of formula units): 0

Lattice parameters (Å, degrees): 2.6709 2.6709 5.9668 77.07 77.07 90.00
Last column: nearest neighbours and their distance in Å.
Sites, in units of the cell vectors:
H (0.7500, 0.2500, 0.5000)  4 Fe 1.72, 4 H 1.89
H (0.2500, 0.7500, 0.5000)  4 Fe 1.72, 4 H 1.89
Fe (0.3462, 0.3462, 0.3076)  4 H 1.72
Fe (0.6538, 0.6538, 0.6924)  4 H 1.72
Os (0.0000, 0.0000, 0.0000)  8 Fe 2.57, 4 Os 2.67